(1)
# Ag2PAu

A relaxed Ag2PAu crystal (GGA-PBEsol, Alexandria via LeMat-Bulk).

Cell lengths 4.007, 4.007, 4.956 Å; angles 113.84, 113.84, 90.00 degrees
Atoms (fractional coordinates):
Ag: 0.000 0.000 0.000
Ag: 0.750 0.250 0.500
Au: 0.500 0.500 0.000
P: 0.250 0.750 0.500

## Properties
**Spin magnetization**: 0.00 Bohr magnetons per cell
**Formation energy**: 0.19 eV per atom

(2)
# AgP3Au

A relaxed AgP3Au crystal (GGA-PBEsol, Alexandria via LeMat-Bulk).

Cell lengths 4.688, 4.688, 4.688 Å; angles 90.00, 90.00, 90.00 degrees
Atoms (fractional coordinates):
P: 0.000 0.500 0.000
P: 0.000 0.000 0.500
P: 0.500 0.000 0.000
Au: 0.500 0.500 0.500
Ag: 0.000 0.000 0.000

## Properties
**Spin magnetization**: 0.00 Bohr magnetons per cell
**Formation energy**: 1.36 eV per atom

(3)
# Ag2PAu

A relaxed Ag2PAu crystal (GGA-PBEsol, Alexandria via LeMat-Bulk).

Cell lengths 2.842, 2.842, 8.086 Å; angles 90.00, 90.00, 91.12 degrees
Atoms (fractional coordinates):
Ag: 0.000 0.000 0.240
Ag: 0.000 0.000 0.760
Au: 0.500 0.500 0.500
P: 0.500 0.500 0.000

## Properties
**Spin magnetization**: 0.00 Bohr magnetons per cell
**Formation energy**: 0.16 eV per atom